No. 1
LiCd5Hg6 (PBE, relaxed); energy relative to the elements = -46 meV per atom; space-group type = C2/m, No. 12; total magnetization = 0.0 Bohr magnetons per cell; V = 23.38 A^3/atom
1.0
5.395 0.326 0.000
1.915 9.611 0.000
0.957 4.806 5.476
Li Cd Hg
1 5 6
direct
0.000 0.000 0.000
0.500 0.189 0.622
0.000 0.348 0.304
0.500 0.500 0.000
0.000 0.652 0.696
0.500 0.811 0.378
0.769 0.075 0.319
0.231 0.606 0.319
0.266 0.224 0.000
0.734 0.776 0.000
0.769 0.394 0.681
0.231 0.925 0.681

No. 2
LiCd8Hg2 (PBE, relaxed); energy relative to the elements = 3 meV per atom; space-group type = C2/m, No. 12; total magnetization = 0.0 Bohr magnetons per cell; V = 23.49 A^3/atom; E above lowest polymorph = 8 meV per atom
1.0
-4.927 -1.523 0.706
-2.298 -4.381 -5.801
1.082 -7.840 0.482
Li Cd Hg
1 8 2
direct
0.500 0.000 0.000
0.826 0.094 0.219
0.826 0.313 0.781
0.298 0.391 0.000
0.500 0.787 0.426
0.500 0.213 0.574
0.702 0.609 0.000
0.174 0.687 0.219
0.174 0.906 0.781
0.000 0.308 0.384
0.000 0.692 0.616

No. 3
LiCd2Hg (PBE, relaxed); energy relative to the elements = -183 meV per atom; space-group type = Pmm2, No. 25; total magnetization = 0.0 Bohr magnetons per cell; V = 20.54 A^3/atom
1.0
-2.099 -0.799 -2.453
-2.417 -1.356 2.510
-2.832 5.946 0.486
Li Hg Cd
1 1 2
direct
0.500 0.500 0.739
0.000 0.000 0.528
0.000 0.000 0.984
0.500 0.500 0.248

No. 4
Li5CdHg2 (PBE, relaxed); energy relative to the elements = -280 meV per atom; space-group type = I4/mmm, No. 139; total magnetization = 0.0 Bohr magnetons per cell; V = 18.13 A^3/atom
1.0
-2.573 3.550 1.722
0.727 -1.594 4.372
6.305 2.706 -2.599
Li Cd Hg
5 1 2
direct
0.500 0.500 0.000
0.871 0.371 0.741
0.371 0.871 0.741
0.129 0.629 0.259
0.629 0.129 0.259
0.000 0.000 0.000
0.746 0.746 0.493
0.254 0.254 0.507

No. 5
LiCd4Hg (PBE, relaxed); energy relative to the elements = -100 meV per atom; space-group type = C2/c, No. 15; total magnetization = 0.0 Bohr magnetons per cell; V = 22.07 A^3/atom; E above lowest polymorph = 0 meV per atom
1.0
5.093 -0.073 0.026
0.084 5.829 2.179
-0.041 -0.010 8.916
Li Cd Hg
2 8 2
direct
0.250 0.796 0.907
0.750 0.204 0.093
0.793 0.289 0.411
0.778 0.109 0.780
0.293 0.200 0.589
0.278 0.389 0.220
0.207 0.711 0.589
0.707 0.800 0.411
0.222 0.891 0.220
0.722 0.611 0.780
0.250 0.296 0.909
0.750 0.704 0.091

No. 6
Li4Cd3Hg2 (PBE, relaxed); energy relative to the elements = -274 meV per atom; space-group type = P-1, No. 2; total magnetization = 0.0 Bohr magnetons per cell; V = 18.98 A^3/atom; E above lowest polymorph = 0 meV per atom
1.0
-0.509 -4.550 0.182
-0.171 -2.114 4.358
-8.651 1.012 1.151
Li Cd Hg
4 3 2
direct
0.664 0.673 0.890
0.004 0.990 0.329
0.996 0.010 0.671
0.336 0.327 0.110
0.336 0.327 0.437
0.000 0.000 0.000
0.664 0.673 0.563
0.326 0.349 0.788
0.674 0.651 0.212

No. 7
Li15CdHg4 (PBE, relaxed); energy relative to the elements = -249 meV per atom; space-group type = P4/mmm, No. 123; total magnetization = 0.0 Bohr magnetons per cell; V = 17.88 A^3/atom
1.0
-3.340 -0.360 -2.684
2.660 -1.233 -3.146
-2.279 -18.458 5.308
Li Cd Hg
15 1 4
direct
0.500 0.500 0.000
0.500 0.500 0.202
0.500 0.500 0.400
0.500 0.500 0.600
0.500 0.500 0.798
0.500 0.000 0.103
0.500 0.000 0.300
0.500 0.000 0.500
0.500 0.000 0.700
0.500 0.000 0.897
0.000 0.500 0.103
0.000 0.500 0.300
0.000 0.500 0.500
0.000 0.500 0.700
0.000 0.500 0.897
0.000 0.000 0.000
0.000 0.000 0.201
0.000 0.000 0.400
0.000 0.000 0.600
0.000 0.000 0.799

No. 8
LiCd6Hg12 (PBE, relaxed); energy relative to the elements = -19 meV per atom; space-group type = R-3, No. 148; total magnetization = 0.0 Bohr magnetons per cell; V = 24.97 A^3/atom; E above lowest polymorph = 0 meV per atom
1.0
7.963 -0.990 -1.176
-1.208 7.933 -1.176
-0.963 -0.990 7.991
Li Cd Hg
1 6 12
direct
0.000 0.000 0.000
0.124 0.253 0.402
0.747 0.598 0.876
0.598 0.876 0.747
0.876 0.747 0.598
0.253 0.402 0.124
0.402 0.124 0.253
0.484 0.194 0.646
0.194 0.646 0.484
0.646 0.484 0.194
0.516 0.806 0.354
0.806 0.354 0.516
0.354 0.516 0.806
0.002 0.149 0.700
0.300 0.998 0.851
0.851 0.300 0.998
0.998 0.851 0.300
0.700 0.002 0.149
0.149 0.700 0.002

No. 9
LiCdHg5 (PBE, relaxed); energy relative to the elements = 43 meV per atom; space-group type = Immm, No. 71; total magnetization = 0.0 Bohr magnetons per cell; V = 35.20 A^3/atom
1.0
5.329 0.000 0.000
2.665 6.949 0.435
2.665 1.671 6.759
Li Cd Hg
1 1 5
direct
0.500 0.500 0.500
0.000 0.000 0.000
0.500 0.186 0.814
0.500 0.814 0.186
0.738 0.262 0.262
0.262 0.738 0.738
0.000 0.500 0.500

No. 10
Li7Cd4Hg (PBE, relaxed); energy relative to the elements = -163 meV per atom; space-group type = C2/m, No. 12; total magnetization = 0.0 Bohr magnetons per cell; V = 19.50 A^3/atom; E above lowest polymorph = 83 meV per atom
1.0
4.999 0.000 0.000
2.499 7.339 1.593
2.499 1.698 6.748
Li Cd Hg
7 4 1
direct
0.789 0.850 0.572
0.211 0.150 0.428
0.073 0.587 0.266
0.927 0.413 0.734
0.209 0.787 0.795
0.500 0.000 0.000
0.791 0.213 0.205
0.577 0.283 0.563
0.423 0.717 0.437
0.672 0.608 0.047
0.328 0.392 0.953
0.000 0.000 0.000

No. 11
LiCd2Hg (PBE, relaxed); energy relative to the elements = -185 meV per atom; space-group type = Amm2, No. 38; total magnetization = 0.0 Bohr magnetons per cell; V = 20.52 A^3/atom
1.0
4.813 0.000 0.000
0.000 5.437 -3.088
0.000 0.038 6.253
Li Cd Hg
2 4 2
direct
0.500 0.664 0.336
0.000 0.338 0.662
0.500 0.168 0.832
0.000 0.341 0.168
0.000 0.832 0.659
0.000 0.829 0.171
0.500 0.656 0.829
0.500 0.171 0.344

No. 12
Li6Cd10Hg (PBE, relaxed); energy relative to the elements = -187 meV per atom; space-group type = P-31m, No. 162; total magnetization = 0.0 Bohr magnetons per cell; V = 19.78 A^3/atom
1.0
-4.884 2.672 2.159
-3.282 -0.047 -7.366
-1.199 -6.222 4.988
Li Cd Hg
6 10 1
direct
0.671 0.351 0.351
0.671 0.000 0.649
0.671 0.649 0.000
0.329 0.649 0.649
0.329 0.000 0.351
0.329 0.351 0.000
0.831 0.708 0.708
0.831 0.000 0.292
0.831 0.292 0.000
0.169 0.292 0.292
0.169 0.000 0.708
0.169 0.708 0.000
0.500 0.333 0.667
0.500 0.667 0.333
0.000 0.667 0.333
0.000 0.333 0.667
0.500 0.000 0.000